Record 1
First-principles (GGA-PBEsol) data for an optimized crystal structure of RhPb2W, as listed in the Alexandria database.

Values from the calculation:
DFT formation energy in eV/atom: 0.83
DOS at the Fermi energy in states/eV per atom: 1.02
Raw total energy in eV for the cell shown: -26.6
Calculated volume in Å³/atom: 19.1

a b c (Å): 3.9862 3.9862 5.5794
angles (deg): 110.93 110.93 90.00
Last column: nearest neighbours and their distance in Å.
Fractional coordinates of all 4 atoms:
Pb 0.0000 0.0000 0.0000  4 Rh 2.82, 4 W 3.13, 4 Pb 3.13
Pb 0.7500 0.2500 0.5000  4 W 2.82, 4 Pb 3.13, 4 Rh 3.13
Rh 0.5000 0.5000 0.0000  8 Pb 2.82-3.13, 4 W 3.13
W 0.2500 0.7500 0.5000  8 Pb 2.82-3.13, 4 Rh 3.13

=====

Record 2
First-principles (GGA-PBEsol) data for an optimized crystal structure of RhPbW, as listed in the Alexandria database.

Values from the calculation:
DFT formation energy in eV/atom: 0.39
DOS at the Fermi energy in states/eV per atom: 1.07
Raw total energy in eV for the cell shown: -24.8
Calculated volume in Å³/atom: 17.9

a b c (Å): 2.9936 2.9936 6.3468
angles (deg): 103.64 103.64 90.00
Last column: nearest neighbours and their distance in Å.
Fractional coordinates of all 3 atoms:
Pb 0.9990 0.9990 0.9980  4 Pb 2.99, 4 Rh 3.07, 4 W 3.09
Rh 0.3137 0.3137 0.6274  4 W 2.60
W 0.6873 0.6873 0.3746  4 Rh 2.60

=====

Record 3
First-principles (GGA-PBEsol) data for an optimized crystal structure of Y2RhPb, as listed in the Alexandria database.

Values from the calculation:
DFT formation energy in eV/atom: -0.33
DOS at the Fermi energy in states/eV per atom: 0.64
Raw total energy in eV for the cell shown: -27.1
Calculated volume in Å³/atom: 25.4

a b c (Å): 3.6125 4.4852 6.2728
angles (deg): 90.00 90.00 90.00
Last column: nearest neighbours and their distance in Å.
Fractional coordinates of all 4 atoms:
Pb 0.0000 0.0000 0.4524  6 Y 3.00-3.27
Rh 0.5000 0.5000 0.8486  5 Y 2.63-2.93
Y 0.0000 0.0000 0.9311  4 Rh 2.93, 2 Pb 3.00-3.27
Y 0.5000 0.5000 0.2679  1 Rh 2.63